{"formula": "Al4ZnRh", "functional": "SCAN", "state": "single point on PBEsol structure", "delta_e_f_ev_per_atom": 0.001, "vol_a3_per_cell": 91.5, "lattice_angstrom": [[0.000, 3.576, 3.576], [3.576, 0.000, 3.576], [3.576, 3.576, 0.000]], "species": ["Al", "Al", "Al", "Al", "Zn", "Rh"], "fractional_positions": [[0.125, 0.125, 0.125], [0.125, 0.125, 0.626], [0.125, 0.626, 0.125], [0.626, 0.125, 0.125], [0.500, 0.500, 0.500], [0.750, 0.750, 0.750]]}

***

{"formula": "AlZnRh2", "functional": "SCAN", "state": "single point on PBEsol structure", "delta_e_f_ev_per_atom": -0.921, "vol_a3_per_cell": 52.2, "lattice_angstrom": [[0.000, 2.966, 2.966], [2.966, 0.000, 2.966], [2.966, 2.966, 0.000]], "species": ["Al", "Zn", "Rh", "Rh"], "fractional_positions": [[0.000, 0.000, 0.000], [0.500, 0.500, 0.500], [0.250, 0.250, 0.250], [0.750, 0.750, 0.750]]}

***

{"formula": "ZrAlRh2", "functional": "SCAN", "state": "single point on PBEsol structure", "delta_e_f_ev_per_atom": -0.987, "vol_a3_per_cell": 61.2, "lattice_angstrom": [[-1.863, 1.863, 4.408], [1.863, -1.863, 4.408], [1.863, 1.863, -4.408]], "species": ["Zr", "Al", "Rh", "Rh"], "fractional_positions": [[0.000, 0.000, 0.000], [0.750, 0.250, 0.500], [0.250, 0.750, 0.500], [0.500, 0.500, 0.000]]}

***

{"formula": "ZrAlRh2", "functional": "SCAN", "state": "single point on PBEsol structure", "delta_e_f_ev_per_atom": -1.128, "vol_a3_per_cell": 61.3, "lattice_angstrom": [[0.000, 3.129, 3.129], [3.129, 0.000, 3.129], [3.129, 3.129, 0.000]], "species": ["Zr", "Al", "Rh", "Rh"], "fractional_positions": [[0.000, 0.000, 0.000], [0.500, 0.500, 0.500], [0.250, 0.250, 0.250], [0.750, 0.750, 0.750]]}

***

{"formula": "Zr2AlRh", "functional": "SCAN", "state": "single point on PBEsol structure", "delta_e_f_ev_per_atom": -0.608, "vol_a3_per_cell": 71.2, "lattice_angstrom": [[-1.956, 1.956, 4.649], [1.956, -1.956, 4.649], [1.956, 1.956, -4.649]], "species": ["Zr", "Zr", "Al", "Rh"], "fractional_positions": [[0.000, 0.000, 0.000], [0.750, 0.250, 0.500], [0.500, 0.500, 0.000], [0.250, 0.750, 0.500]]}

***

{"formula": "ZrAlRh2", "functional": "SCAN", "state": "single point on PBEsol structure", "delta_e_f_ev_per_atom": -1.060, "vol_a3_per_cell": 61.1, "lattice_angstrom": [[3.012, -3.227, 0.000], [3.012, 3.227, 0.000], [0.000, 0.000, 3.145]], "species": ["Zr", "Al", "Rh", "Rh"], "fractional_positions": [[0.000, 0.000, 0.000], [0.500, 0.500, 0.000], [0.000, 0.500, 0.500], [0.500, 0.000, 0.500]]}

***

{"formula": "ZrAlRh2", "functional": "SCAN", "state": "single point on PBEsol structure", "delta_e_f_ev_per_atom": -1.085, "vol_a3_per_cell": 60.5, "lattice_angstrom": [[3.002, 0.000, 0.000], [0.000, 3.002, 0.000], [0.000, 0.000, 6.718]], "species": ["Zr", "Al", "Rh", "Rh"], "fractional_positions": [[0.000, 0.000, 0.000], [0.000, 0.000, 0.500], [0.500, 0.500, 0.278], [0.500, 0.500, 0.722]]}

***

{"formula": "ZrAlRh2", "functional": "SCAN", "state": "single point on PBEsol structure", "delta_e_f_ev_per_atom": -0.866, "vol_a3_per_cell": 62.9, "lattice_angstrom": [[2.991, 0.000, 0.000], [0.000, 3.942, 0.000], [-0.018, 0.000, 5.339]], "species": ["Zr", "Al", "Rh", "Rh"], "fractional_positions": [[0.000, 0.000, 0.000], [0.501, 0.500, 0.327], [0.001, 0.000, 0.478], [0.499, 0.500, 0.806]]}

***

{"formula": "ZrAl2Rh", "functional": "SCAN", "state": "single point on PBEsol structure", "delta_e_f_ev_per_atom": -0.904, "vol_a3_per_cell": 63.2, "lattice_angstrom": [[2.995, 0.000, 0.000], [0.000, 2.995, 0.000], [0.000, 0.000, 7.053]], "species": ["Zr", "Al", "Al", "Rh"], "fractional_positions": [[0.000, 0.000, 0.000], [0.500, 0.500, 0.293], [0.500, 0.500, 0.707], [0.000, 0.000, 0.500]]}

***

{"formula": "Zr2Al2Rh", "functional": "SCAN", "state": "single point on PBEsol structure", "delta_e_f_ev_per_atom": -0.718, "vol_a3_per_cell": 177.3, "lattice_angstrom": [[6.484, 0.000, 0.000], [0.000, 6.484, 0.000], [0.000, 0.000, 4.218]], "species": ["Zr", "Zr", "Zr", "Zr", "Al", "Al", "Al", "Al", "Rh", "Rh"], "fractional_positions": [[0.170, 0.330, 0.000], [0.330, 0.830, 0.000], [0.670, 0.170, 0.000], [0.830, 0.670, 0.000], [0.139, 0.639, 0.500], [0.361, 0.139, 0.500], [0.639, 0.861, 0.500], [0.861, 0.361, 0.500], [0.000, 0.000, 0.500], [0.500, 0.500, 0.500]]}

***

{"formula": "Zr2AlRh", "functional": "SCAN", "state": "single point on PBEsol structure", "delta_e_f_ev_per_atom": -0.685, "vol_a3_per_cell": 71.8, "lattice_angstrom": [[3.151, 0.000, 0.000], [0.000, 3.151, 0.000], [0.000, 0.000, 7.226]], "species": ["Zr", "Zr", "Al", "Rh"], "fractional_positions": [[0.000, 0.000, 0.000], [0.500, 0.500, 0.304], [0.000, 0.000, 0.581], [0.500, 0.500, 0.766]]}

***

{"formula": "ZrAl2Rh", "functional": "SCAN", "state": "single point on PBEsol structure", "delta_e_f_ev_per_atom": -0.609, "vol_a3_per_cell": 63.2, "lattice_angstrom": [[0.000, 3.161, 3.161], [3.161, 0.000, 3.161], [3.161, 3.161, 0.000]], "species": ["Zr", "Al", "Al", "Rh"], "fractional_positions": [[0.000, 0.000, 0.000], [0.250, 0.250, 0.250], [0.750, 0.750, 0.750], [0.500, 0.500, 0.500]]}

***

{"formula": "Zr2AlRh", "functional": "SCAN", "state": "single point on PBEsol structure", "delta_e_f_ev_per_atom": -0.688, "vol_a3_per_cell": 73.6, "lattice_angstrom": [[4.224, 0.000, 0.000], [0.000, 1.680, 5.185], [0.000, -1.680, 5.185]], "species": ["Zr", "Zr", "Al", "Rh"], "fractional_positions": [[0.000, 0.000, 0.000], [0.500, 0.301, 0.301], [0.000, 0.722, 0.722], [0.500, 0.565, 0.565]]}

***

{"formula": "AlRu2", "functional": "SCAN", "state": "single point on PBEsol structure", "delta_e_f_ev_per_atom": -0.479, "vol_a3_per_cell": 79.6, "lattice_angstrom": [[1.436, -6.472, 0.000], [1.436, 6.472, 0.000], [0.000, 0.000, 4.280]], "species": ["Al", "Al", "Ru", "Ru", "Ru", "Ru"], "fractional_positions": [[0.070, 0.930, 0.750], [0.930, 0.070, 0.250], [0.267, 0.733, 0.250], [0.405, 0.595, 0.750], [0.595, 0.405, 0.250], [0.733, 0.267, 0.750]]}

***

The M_tot results, record by record, are as follows: 0.00; 0.00; 0.00; 0.02; 0.00; 0.00; 0.00; 0.00; 0.00; 0.00; 0.00; 1.22; 0.00; 0.00 Bohr magnetons per cell.